Entry from Alexandria via LeMat-Bulk: CuNiPd2 after structural relaxation (PBE).

Summary:
Its formation energy is 12.0 meV/atom. The value obtained for the volume is 55 Å³ per cell. The crystal system is trigonal. The space group is No. 166. As for the total energy: -20.2 eV for the cell shown. The calculation puts the magnetization at 0.248 μB/atom.

a = 8.686 Å, b = 8.686 Å, c = 8.686 Å
α = 18.00°, β = 18.00°, γ = 18.00°
Positions (direct):
Cu (0.000, 0.000, 0.000)
Ni (0.500, 0.500, 0.500)
Pd (0.249, 0.249, 0.249)
Pd (0.751, 0.751, 0.751)


Entry from Alexandria via LeMat-Bulk: CuAg5Cl12 after structural relaxation (PBE).

Summary:
The value obtained for the volume is 529 Å³ per cell. The crystal system is triclinic. The energy relative to the elements, uncorrected is -0.3549 eV per atom. The space group is No. 2. As for the total energy: -46.9 eV for the cell shown. The calculation puts the magnetization at 0.177 μB/atom.

a = 6.621 Å, b = 6.642 Å, c = 12.585 Å
α = 90.15°, β = 90.26°, γ = 107.02°
Positions (direct):
Cu (0.000, 0.000, 0.000)
Ag (0.167, 0.334, 0.500)
Ag (0.332, 0.669, 0.000)
Ag (0.500, 0.000, 0.500)
Ag (0.668, 0.331, 0.000)
Ag (0.833, 0.666, 0.500)
Cl (0.045, 0.746, 0.892)
Cl (0.114, 0.614, 0.384)
Cl (0.220, 0.053, 0.616)
Cl (0.255, 0.955, 0.108)
Cl (0.387, 0.388, 0.883)
Cl (0.448, 0.281, 0.385)
Cl (0.552, 0.719, 0.615)
Cl (0.613, 0.612, 0.117)
Cl (0.745, 0.045, 0.892)
Cl (0.780, 0.947, 0.384)
Cl (0.886, 0.386, 0.616)
Cl (0.955, 0.254, 0.108)